Crystalline TiCrAsSe2 at its relaxed geometry, computed with GGA-PBE.

abc: 4.9177 4.9177 4.9108
angles: 90.00 90.00 90.00
Atoms (fractional coordinates):
Ti 0.0000 0.0000 0.0000
Cr 0.5000 0.5000 0.5000
As 0.0000 0.0000 0.5000
Se 0.0000 0.5000 0.0000
Se 0.5000 0.0000 0.0000

---

Crystalline Nd4Er4Tm3 at its relaxed geometry, computed with GGA-PBE.

abc: 18.0383 18.0383 18.0383
angles: 168.83 162.01 21.23
Atoms (fractional coordinates):
Nd 0.0904 0.0904 0.0000
Nd 0.2685 0.7685 0.5000
Nd 0.7315 0.2315 0.5000
Nd 0.9096 0.9096 0.0000
Er 0.1802 0.1802 0.0000
Er 0.4546 0.9546 0.5000
Er 0.5454 0.0454 0.5000
Er 0.8198 0.8198 0.0000
Tm 0.0000 0.5000 0.5000
Tm 0.3645 0.3645 0.0000
Tm 0.6355 0.6355 0.0000

---

Crystalline ErSn2 at its relaxed geometry, computed with GGA-PBE.

abc: 4.2312 4.2312 5.1475
angles: 108.65 108.65 90.62
Atoms (fractional coordinates):
Er 0.0000 0.0000 0.0000
Sn 0.3596 0.3596 0.6842
Sn 0.6404 0.6404 0.3158

---

Crystalline Ag12BiO7 at its relaxed geometry, computed with GGA-PBE.

abc: 7.2807 7.2807 7.2807
angles: 106.53 106.53 106.53
Atoms (fractional coordinates):
Ag 0.0688 0.6335 0.2303
Ag 0.1713 0.4155 0.5196
Ag 0.2303 0.0688 0.6335
Ag 0.3665 0.7697 0.9312
Ag 0.4155 0.5196 0.1713
Ag 0.4804 0.8287 0.5845
Ag 0.5196 0.1713 0.4155
Ag 0.5845 0.4804 0.8287
Ag 0.6335 0.2303 0.0688
Ag 0.7697 0.9312 0.3665
Ag 0.8287 0.5845 0.4804
Ag 0.9312 0.3665 0.7697
Bi 0.0000 0.0000 0.0000
O 0.0370 0.6970 0.8338
O 0.1662 0.9630 0.3030
O 0.3030 0.1662 0.9630
O 0.5000 0.5000 0.5000
O 0.6970 0.8338 0.0370
O 0.8338 0.0370 0.6970
O 0.9630 0.3030 0.1662

---

One value per record, in order, for E_tot: -28.6 -50.0 -13.5 -75.6 eV per cell.